Record 1
A plane-wave DFT calculation with GGA-PBEsol was carried out for an optimized crystal structure of CuPtCl2.

Computed properties:
**Energy relative to the elements, uncorrected**: 0.12 eV/atom

Unit cell a=6.8866 b=6.8866 c=6.8866 alpha=153.73 beta=149.38 gamma=40.77
Element x y z (fractional)
Cu 0.0000 0.0000 0.0000
Pt 0.1688 0.6688 0.5000
Cl 0.4508 0.4508 0.0000
Cl 0.7023 0.2023 0.5000

Record 2
A plane-wave DFT calculation with GGA-PBEsol was carried out for an optimized crystal structure of CuPtCl.

Computed properties:
**Energy relative to the elements, uncorrected**: 0.44 eV/atom

Unit cell a=4.2344 b=4.2344 c=2.8787 alpha=90.00 beta=90.00 gamma=120.00
Element x y z (fractional)
Cu 0.0000 0.0000 0.0000
Pt 0.3333 0.6667 0.5000
Cl 0.6667 0.3333 0.5000

Record 3
A plane-wave DFT calculation with GGA-PBEsol was carried out for an optimized crystal structure of CuPt2Cl.

Computed properties:
**Energy relative to the elements, uncorrected**: 0.56 eV/atom

Unit cell a=4.4533 b=4.4533 c=4.4533 alpha=122.39 beta=122.39 gamma=85.91
Element x y z (fractional)
Cu 0.0000 0.0000 0.0000
Pt 0.5000 0.5000 0.0000
Pt 0.7500 0.2500 0.5000
Cl 0.2500 0.7500 0.5000

Record 4
A plane-wave DFT calculation with GGA-PBEsol was carried out for an optimized crystal structure of CuPt2Cl.

Computed properties:
**Energy relative to the elements, uncorrected**: 0.50 eV/atom

Unit cell a=4.6732 b=4.6732 c=2.7806 alpha=90.00 beta=90.00 gamma=106.07
Element x y z (fractional)
Cu 0.0000 0.0000 0.0000
Pt 0.0000 0.5000 0.5000
Pt 0.5000 0.0000 0.5000
Cl 0.5000 0.5000 0.0000

Record 5
A plane-wave DFT calculation with GGA-PBEsol was carried out for an optimized crystal structure of CuPtCl.

Computed properties:
**Energy relative to the elements, uncorrected**: 0.67 eV/atom

Unit cell a=4.1498 b=4.1498 c=4.1498 alpha=60.00 beta=60.00 gamma=60.00
Element x y z (fractional)
Cu 0.0000 0.0000 0.0000
Pt 0.2500 0.2500 0.2500
Cl 0.7500 0.7500 0.7500

Record 6
A plane-wave DFT calculation with GGA-PBEsol was carried out for an optimized crystal structure of CuPt2Cl.

Computed properties:
**Energy relative to the elements, uncorrected**: 0.34 eV/atom

Unit cell a=2.8529 b=2.8529 c=7.2440 alpha=90.00 beta=90.00 gamma=90.00
Element x y z (fractional)
Cu 0.0000 0.0000 0.0000
Pt 0.5000 0.5000 0.2226
Pt 0.5000 0.5000 0.7774
Cl 0.0000 0.0000 0.5000

Record 7
A plane-wave DFT calculation with GGA-PBEsol was carried out for an optimized crystal structure of CuPtCl2.

Computed properties:
**Energy relative to the elements, uncorrected**: -0.01 eV/atom

Unit cell a=3.2217 b=3.2217 c=7.7901 alpha=90.00 beta=90.00 gamma=115.21
Element x y z (fractional)
Cu 0.0000 0.0000 0.0000
Pt 0.5000 0.5000 0.7772
Cl 0.0000 0.0000 0.5690
Cl 0.5000 0.5000 0.1795

Record 8
A plane-wave DFT calculation with GGA-PBEsol was carried out for an optimized crystal structure of RbCuCl3.

Computed properties:
**Energy relative to the elements, uncorrected**: -1.09 eV/atom

Unit cell a=6.8742 b=6.8742 c=12.1827 alpha=90.69 beta=90.69 gamma=59.45
Element x y z (fractional)
Rb 0.1461 0.1892 0.3736
Rb 0.1892 0.1461 0.8736
Rb 0.8108 0.8539 0.1264
Rb 0.8539 0.8108 0.6264
Cu 0.4521 0.5479 0.2500
Cu 0.5000 0.5000 0.0000
Cu 0.5000 0.5000 0.5000
Cu 0.5479 0.4521 0.7500
Cl 0.1348 0.6948 0.3537
Cl 0.2325 0.6231 0.8613
Cl 0.3051 0.8652 0.1463
Cl 0.3161 0.3558 0.0913
Cl 0.3558 0.3161 0.5913
Cl 0.3769 0.7675 0.6387
Cl 0.6231 0.2325 0.3613
Cl 0.6442 0.6839 0.4087
Cl 0.6839 0.6442 0.9087
Cl 0.6948 0.1348 0.8537
Cl 0.7675 0.3769 0.1387
Cl 0.8652 0.3051 0.6463

Record 9
A plane-wave DFT calculation with GGA-PBEsol was carried out for an optimized crystal structure of Rb2CuCl4.

Computed properties:
**Energy relative to the elements, uncorrected**: -1.34 eV/atom

Unit cell a=8.5835 b=8.5835 c=8.5835 alpha=147.27 beta=147.27 gamma=46.96
Element x y z (fractional)
Rb 0.1411 0.1411 0.0000
Rb 0.8589 0.8589 0.0000
Cu 0.5000 0.5000 0.0000
Cl 0.0000 0.5000 0.5000
Cl 0.3495 0.3495 0.0000
Cl 0.5000 0.0000 0.5000
Cl 0.6505 0.6505 0.0000

Record 10
A plane-wave DFT calculation with GGA-PBEsol was carried out for an optimized crystal structure of Rb3Cu2Cl7.

Computed properties:
**Energy relative to the elements, uncorrected**: -1.26 eV/atom

Unit cell a=12.8847 b=12.8847 c=6.9794 alpha=90.00 beta=90.00 gamma=148.53
Element x y z (fractional)
Rb 0.0703 0.9297 0.7500
Rb 0.2500 0.7500 0.7500
Rb 0.4297 0.5703 0.7500
Rb 0.5703 0.4297 0.2500
Rb 0.7500 0.2500 0.2500
Rb 0.9297 0.0703 0.2500
Cu 0.1551 0.8449 0.2500
Cu 0.3449 0.6551 0.2500
Cu 0.6551 0.3449 0.7500
Cu 0.8449 0.1551 0.7500
Cl 0.0610 0.9390 0.2500
Cl 0.0685 0.3850 0.5233
Cl 0.1150 0.4315 0.0233
Cl 0.2500 0.7500 0.2500
Cl 0.3850 0.0685 0.0233
Cl 0.4315 0.1150 0.5233
Cl 0.4390 0.5610 0.2500
Cl 0.5610 0.4390 0.7500
Cl 0.5685 0.8850 0.4767
Cl 0.6150 0.9315 0.9767
Cl 0.7500 0.2500 0.7500
Cl 0.8850 0.5685 0.9767
Cl 0.9315 0.6150 0.4767
Cl 0.9390 0.0610 0.7500

Record 11
A plane-wave DFT calculation with GGA-PBEsol was carried out for an optimized crystal structure of RbCuCl3.

Computed properties:
**Energy relative to the elements, uncorrected**: -1.07 eV/atom

Unit cell a=6.8346 b=6.8346 c=5.8185 alpha=90.00 beta=90.00 gamma=120.00
Element x y z (fractional)
Rb 0.3333 0.6667 0.2500
Rb 0.6667 0.3333 0.7500
Cu 0.0000 0.0000 0.0000
Cu 0.0000 0.0000 0.5000
Cl 0.1618 0.3237 0.7500
Cl 0.1618 0.8382 0.7500
Cl 0.3237 0.1618 0.2500
Cl 0.6763 0.8382 0.7500
Cl 0.8382 0.1618 0.2500
Cl 0.8382 0.6763 0.2500

Record 12
A plane-wave DFT calculation with GGA-PBEsol was carried out for an optimized crystal structure of Rb2CuCl4.

Computed properties:
**Energy relative to the elements, uncorrected**: -1.35 eV/atom

Unit cell a=8.5260 b=8.5260 c=6.9715 alpha=90.00 beta=90.00 gamma=48.26
Element x y z (fractional)
Rb 0.1396 0.1396 0.0000
Rb 0.3604 0.3604 0.5000
Rb 0.6396 0.6396 0.5000
Rb 0.8604 0.8604 0.0000
Cu 0.0000 0.0000 0.5000
Cu 0.5000 0.5000 0.0000
Cl 0.1506 0.1506 0.5000
Cl 0.2318 0.7682 0.7318
Cl 0.2682 0.7318 0.2318
Cl 0.3494 0.3494 0.0000
Cl 0.6506 0.6506 0.0000
Cl 0.7318 0.2682 0.7682
Cl 0.7682 0.2318 0.2682
Cl 0.8494 0.8494 0.5000